#1
5
Lattice="3.976 0.000 0.000 0.000 3.976 0.000 0.000 0.000 6.216" Properties=species:S:1:pos:R:3 comment="TaSiIO2 PBE-GGA optimized geometry" spacegroup="P4/mmm, No. 123" total_magnetization_mub_per_atom=0.28 dos_ef_per_ev_cell=1.90 pbc="T T T"
Ta 0.000 0.000 0.000
Si 1.988 1.988 3.108
I 0.000 0.000 3.108
O 0.000 1.988 0.000
O 1.988 0.000 0.000



#2
5
Lattice="3.794 0.000 0.000 0.000 3.794 0.000 0.000 0.000 5.563" Properties=species:S:1:pos:R:3 comment="TaSiIO2 PBE-GGA optimized geometry" spacegroup="P4/mmm, No. 123" total_magnetization_mub_per_atom=0.53 dos_ef_per_ev_cell=2.23 pbc="T T T"
Ta 0.000 0.000 0.000
Si 1.897 1.897 2.781
I 1.897 1.897 0.000
O 0.000 1.897 2.781
O 1.897 0.000 2.781



Of them, #1 has the highest stability.



#1
5
Lattice="5.564 0.000 0.000 0.000 5.564 0.000 0.000 0.000 3.749" Properties=species:S:1:pos:R:3 comment="SiTcI2O PBE-GGA optimized geometry" spacegroup="P4/mmm, No. 123" total_magnetization_mub_per_atom=0.00 dos_ef_per_ev_cell=1.86 pbc="T T T"
Si 0.000 0.000 0.000
Tc 2.782 2.782 1.875
I 0.000 2.782 1.875
I 2.782 0.000 1.875
O 2.782 2.782 0.000



#2
5
Lattice="5.690 0.000 0.000 0.000 5.690 0.000 0.000 0.000 3.503" Properties=species:S:1:pos:R:3 comment="SiTcI2O PBE-GGA optimized geometry" spacegroup="P4/mmm, No. 123" total_magnetization_mub_per_atom=0.80 dos_ef_per_ev_cell=2.98 pbc="T T T"
Si 0.000 0.000 0.000
Tc 2.845 2.845 1.751
I 0.000 2.845 0.000
I 2.845 0.000 0.000
O 0.000 0.000 1.751



Of them, #1 has the highest stability.



#1
5
Lattice="4.483 0.000 0.000 0.000 4.483 0.000 0.000 0.000 6.474" Properties=species:S:1:pos:R:3 comment="SiTe2IO PBE-GGA optimized geometry" spacegroup="P4/mmm, No. 123" total_magnetization_mub_per_atom=0.00 dos_ef_per_ev_cell=4.77 pbc="T T T"
Si 0.000 0.000 0.000
Te 0.000 2.241 3.237
Te 2.241 0.000 3.237
I 2.241 2.241 0.000
O 2.241 2.241 3.237



#2
5
Lattice="5.257 0.000 0.000 0.000 5.257 0.000 0.000 0.000 5.292" Properties=species:S:1:pos:R:3 comment="SiTe2IO PBE-GGA optimized geometry" spacegroup="P4/mmm, No. 123" total_magnetization_mub_per_atom=0.00 dos_ef_per_ev_cell=10.86 pbc="T T T"
Si 0.000 0.000 0.000
Te 0.000 2.629 0.000
Te 2.629 0.000 0.000
I 0.000 0.000 2.646
O 2.629 2.629 2.646



Of them, #1 has the highest stability.



#1
5
Lattice="6.159 0.000 0.000 0.000 6.159 0.000 0.000 0.000 4.047" Properties=species:S:1:pos:R:3 comment="SiTeI2O PBE-GGA optimized geometry" spacegroup="P4/mmm, No. 123" total_magnetization_mub_per_atom=0.16 dos_ef_per_ev_cell=3.01 pbc="T T T"
Si 0.000 0.000 0.000
Te 3.080 3.080 2.024
I 0.000 3.080 2.024
I 3.080 0.000 2.024
O 3.080 3.080 0.000



#2
5
Lattice="5.217 0.000 0.000 0.000 5.217 0.000 0.000 0.000 4.601" Properties=species:S:1:pos:R:3 comment="SiTeI2O PBE-GGA optimized geometry" spacegroup="P4/mmm, No. 123" total_magnetization_mub_per_atom=0.00 dos_ef_per_ev_cell=3.59 pbc="T T T"
Si 0.000 0.000 0.000
Te 2.608 2.608 0.000
I 0.000 2.608 2.301
I 2.608 0.000 2.301
O 2.608 2.608 2.301



Of them, #1 has the highest stability.



#1
5
Lattice="6.043 0.000 0.000 0.000 6.043 0.000 0.000 0.000 3.612" Properties=species:S:1:pos:R:3 comment="TlSiI2O PBE-GGA optimized geometry" spacegroup="P4/mmm, No. 123" total_magnetization_mub_per_atom=0.00 dos_ef_per_ev_cell=1.59 pbc="T T T"
Tl 0.000 0.000 0.000
Si 3.021 3.021 1.806
I 0.000 3.021 1.806
I 3.021 0.000 1.806
O 3.021 3.021 0.000



#2
5
Lattice="6.145 0.000 0.000 0.000 6.145 0.000 0.000 0.000 4.085" Properties=species:S:1:pos:R:3 comment="TlSiI2O PBE-GGA optimized geometry" spacegroup="P4/mmm, No. 123" total_magnetization_mub_per_atom=0.09 dos_ef_per_ev_cell=2.75 pbc="T T T"
Tl 0.000 0.000 0.000
Si 3.073 3.073 2.042
I 0.000 3.073 0.000
I 3.073 0.000 0.000
O 0.000 0.000 2.042



Of them, #1 has the highest stability.